# 1
Er2Co2O5 | OQMD | PBE+U | optimized geometry; DFT total energy = -62.28 eV for the cell shown
1.0
6.827 0.000 0.000
0.000 3.789 0.000
0.000 0.000 3.789
O Er Co
5 2 2
Direct
0.217 0.000 0.500
0.500 0.500 0.500
0.217 0.500 0.000
0.783 0.000 0.500
0.783 0.500 0.000
0.500 0.000 0.000
0.000 0.000 0.000
0.206 0.500 0.500
0.794 0.500 0.500

---

# 2
Er2Co2O5 | OQMD | PBE+U | optimized geometry; DFT total energy = -59.50 eV for the cell shown
1.0
-1.160 -7.152 4.766
0.388 -2.132 -3.105
3.733 -0.202 0.605
Co O Er
2 5 2
Direct
0.000 0.000 0.000
0.500 0.000 0.000
0.859 0.500 0.000
0.500 0.500 0.500
0.141 0.000 0.500
0.859 0.000 0.500
0.141 0.500 0.000
0.752 0.500 0.500
0.248 0.500 0.500

---

# 3
ErCoO3 | OQMD | PBE+U | optimized geometry; DFT total energy = -70.40 eV for the cell shown
1.0
-3.839 -2.061 -3.134
-5.151 1.186 0.934
-2.658 3.442 -3.604
Co Er O
2 2 6
Direct
0.848 0.848 0.456
0.152 0.152 0.544
0.364 0.364 0.908
0.636 0.636 0.092
0.036 0.442 0.736
0.964 0.558 0.264
0.442 0.786 0.736
0.786 0.036 0.736
0.558 0.214 0.264
0.214 0.964 0.264